No. 1
This record from the Alexandria database describes a geometry-optimized LiCuHRh2 structure. The functional is PBE.

Computed properties:
ΔE to the lowest computed polymorph in eV per formula unit: 0.27
Calculated density in g/cm³: 8.2

Cell and atoms, written as CIF:
```
data_LiCuHRh2
_chemical_formula_sum 'Li1 Cu1 H1 Rh2'
_space_group_name_H-M_alt 'P 4/m m m'
_space_group_IT_number 123
_space_group_name_Hall '-P 4 2'
_cell_length_a 3.8463
_cell_length_b 3.8463
_cell_length_c 3.8022
_cell_angle_alpha 90.00
_cell_angle_beta 90.00
_cell_angle_gamma 90.00
loop_
_atom_site_label
_atom_site_type_symbol
_atom_site_fract_x
_atom_site_fract_y
_atom_site_fract_z
Li1 Li 0.0000 0.0000 0.0000
Cu1 Cu 0.5000 0.5000 0.0000
H1 H 0.5000 0.5000 0.5000
Rh1 Rh 0.0000 0.5000 0.5000
```

***

No. 2
This record from the Alexandria database describes a geometry-optimized Pr4Er3Hg structure. The functional is PBE.

Computed properties:
Calculated formation energy in meV per atom: -91
Calculated density in g/cm³: 8.1

Cell and atoms, written as CIF:
```
data_Pr4Er3Hg
_chemical_formula_sum 'Pr4 Er3 Hg1'
_space_group_name_H-M_alt 'P 4/m m m'
_space_group_IT_number 123
_space_group_name_Hall '-P 4 2'
_cell_length_a 3.6801
_cell_length_b 3.6801
_cell_length_c 19.1201
_cell_angle_alpha 90.00
_cell_angle_beta 90.00
_cell_angle_gamma 90.00
loop_
_atom_site_label
_atom_site_type_symbol
_atom_site_fract_x
_atom_site_fract_y
_atom_site_fract_z
Pr1 Pr 0.0000 0.0000 0.1093
Pr2 Pr 0.0000 0.0000 0.3710
Er1 Er 0.5000 0.5000 0.2412
Er2 Er 0.5000 0.5000 0.5000
Hg1 Hg 0.5000 0.5000 0.0000
```